Sr3Ac3CdSe8 (PBE, relaxed); formation energy (no corrections) = -26.42 eV per formula unit; size of the total moment = 0.00 Bohr magnetons per cell; space-group type = No. 166
1.0
4.418 2.550 7.278
-4.418 2.550 7.278
0.000 -5.101 7.278
Sr Ac Cd Se
3 3 1 8
Cartesian
-2.209 -1.275 7.278
-2.209 1.275 14.557
0.000 2.550 7.278
-4.418 0.000 10.918
-2.209 1.275 3.639
2.209 1.275 3.639
0.000 0.000 10.918
0.000 0.000 5.478
-2.104 -1.215 12.628
0.000 -2.429 9.207
-2.104 1.215 9.207
2.104 -1.215 12.628
0.000 2.429 12.628
2.104 1.215 9.207
0.000 0.000 16.358

=====

Na3Tl4Sb2 (PBE, relaxed); formation energy (no corrections) = -1.56 eV per formula unit; size of the total moment = 0.00 Bohr magnetons per cell; space-group type = No. 2
1.0
5.665 0.000 0.000
2.657 5.349 0.000
1.758 1.799 8.959
Na Tl Sb
3 4 2
Cartesian
0.000 0.000 0.000
5.089 5.293 5.612
4.991 1.854 3.347
2.122 3.700 2.840
4.517 3.733 8.769
5.563 3.415 0.191
7.958 3.447 6.119
4.862 5.585 2.443
5.218 1.562 6.516

=====

Rb2RhBr6N (PBE, relaxed); formation energy (no corrections) = -3.55 eV per formula unit; size of the total moment = 1.48 Bohr magnetons per cell; space-group type = No. 139
1.0
-3.508 3.508 5.959
3.508 -3.508 5.959
3.508 3.508 -5.959
Rb Rh Br N
2 1 6 1
Cartesian
3.508 0.000 2.980
0.000 3.508 2.980
0.000 0.000 0.000
0.000 0.000 2.511
1.824 1.824 0.000
1.684 -1.684 5.959
-1.684 1.684 5.959
1.684 1.684 5.959
0.000 0.000 9.408
0.000 0.000 5.959

=====

CdGa2Br6Cl2 (PBE, relaxed); formation energy (no corrections) = -9.55 eV per formula unit; size of the total moment = 0.00 Bohr magnetons per cell; space-group type = No. 147
1.0
6.806 0.000 0.000
-3.403 5.894 0.000
0.000 0.000 9.857
Cd Ga Br Cl
1 2 6 2
Cartesian
0.000 0.000 0.000
0.000 3.929 7.382
3.403 1.965 2.475
-1.139 1.987 1.672
-1.112 5.887 1.672
1.152 1.980 8.185
2.251 3.914 1.672
4.515 0.007 8.185
4.542 3.907 8.185
0.000 3.929 5.237
3.403 1.965 4.620

=====

MgRe2Os (PBE, relaxed); size of the total moment = 0.00 Bohr magnetons per cell; space-group type = No. 139; formation enthalpy at 0 K = 0.3549 eV per atom
1.0
3.758 0.000 0.000
0.000 3.758 0.000
0.000 0.000 8.528
Mg Re Os
2 4 2
Cartesian
0.000 0.000 0.000
1.879 1.879 4.264
0.000 1.879 2.132
0.000 1.879 6.396
1.879 0.000 2.132
1.879 0.000 6.396
0.000 0.000 4.264
1.879 1.879 0.000

=====

DyTmGaGe (PBE, relaxed); size of the total moment = 0.00 Bohr magnetons per cell; energy above the lowest structure with this stoichiometry = 0 meV per atom; space-group type = No. 38; formation enthalpy at 0 K = -0.7816 eV per atom
1.0
3.980 0.000 0.000
0.000 4.290 0.000
0.000 0.000 10.707
Dy Tm Ga Ge
2 2 2 2
Cartesian
0.000 0.000 0.000
0.000 2.145 5.353
1.990 0.000 2.989
1.990 2.145 8.342
1.990 0.000 5.993
1.990 2.145 0.640
0.000 0.000 7.711
0.000 2.145 2.358